[1]
{"formula": "BaFeAs", "functional": "GGA-PBE", "state": "relaxed", "delta_e_f_ev_per_atom": -0.514, "rho_g_cm3": 5.5, "m_tot_mub_per_atom": 0.000, "dos_at_fermi_per_ev_cell": 6.389, "lattice_angstrom": [[-0.025, 1.184, -3.849], [-3.956, -0.729, -0.199], [-1.866, 9.338, 2.884]], "species": ["As", "As", "Ba", "Ba", "Fe", "Fe"], "frac_coords": [[0.500, 0.000, 0.621], [0.000, 0.500, 0.379], [0.500, 0.000, 0.209], [0.000, 0.500, 0.791], [0.500, 0.500, 0.500], [0.000, 0.000, 0.500]]}

---

[2]
{"formula": "BaFe2As", "functional": "GGA-PBE", "state": "relaxed", "delta_e_f_ev_per_atom": -0.140, "rho_g_cm3": 6.2, "m_tot_mub_per_atom": 0.728, "dos_at_fermi_per_ev_cell": 3.560, "lattice_angstrom": [[-1.822, -0.086, 3.734], [-0.761, -3.639, 1.857], [4.323, -1.033, 4.400]], "species": ["As", "Ba", "Fe", "Fe"], "frac_coords": [[0.250, 0.250, 0.250], [0.750, 0.750, 0.750], [0.931, 0.931, 0.208], [0.569, 0.569, 0.292]]}

---

[3]
{"formula": "BaFe2As", "functional": "GGA-PBE", "state": "relaxed", "delta_e_f_ev_per_atom": 0.382, "rho_g_cm3": 6.6, "m_tot_mub_per_atom": 1.193, "dos_at_fermi_per_ev_cell": 3.866, "lattice_angstrom": [[3.384, 0.000, 0.000], [0.000, 3.389, 0.000], [0.000, 0.000, 7.063]], "species": ["As", "Ba", "Fe", "Fe"], "frac_coords": [[0.500, 0.500, 0.250], [0.500, 0.500, 0.750], [0.000, 0.000, 0.091], [0.000, 0.000, 0.409]]}

---

[4]
{"formula": "BaFeAs", "functional": "GGA-PBE", "state": "relaxed", "delta_e_f_ev_per_atom": 0.092, "rho_g_cm3": 5.8, "m_tot_mub_per_atom": 1.000, "dos_at_fermi_per_ev_cell": 0.460, "lattice_angstrom": [[4.778, 0.000, 0.000], [2.389, 4.138, 0.000], [2.389, 1.379, 3.901]], "species": ["As", "Ba", "Fe"], "frac_coords": [[0.000, 0.000, 0.000], [0.500, 0.500, 0.500], [0.750, 0.750, 0.750]]}

---

[5]
{"formula": "BaFeAs", "functional": "GGA-PBE", "state": "relaxed", "delta_e_f_ev_per_atom": 0.832, "rho_g_cm3": 4.4, "m_tot_mub_per_atom": 1.260, "dos_at_fermi_per_ev_cell": 9.237, "lattice_angstrom": [[5.212, 0.000, 0.000], [2.606, 4.513, 0.000], [2.606, 1.504, 4.255]], "species": ["As", "Ba", "Fe"], "frac_coords": [[0.500, 0.500, 0.500], [0.750, 0.750, 0.750], [0.000, 0.000, 0.000]]}

---

[6]
{"formula": "BaFe2As", "functional": "GGA-PBE", "state": "relaxed", "delta_e_f_ev_per_atom": 0.060, "rho_g_cm3": 6.1, "m_tot_mub_per_atom": 1.190, "dos_at_fermi_per_ev_cell": 3.427, "lattice_angstrom": [[3.868, 0.000, 0.000], [0.000, 3.471, 0.093], [0.000, 1.613, 6.574]], "species": ["As", "Ba", "Fe", "Fe"], "frac_coords": [[0.000, 0.351, 0.420], [0.500, 0.698, 0.718], [0.000, 0.984, 0.162], [0.500, 0.468, 0.201]]}

---

[7]
{"formula": "Ba2FeAs", "functional": "GGA-PBE", "state": "relaxed", "delta_e_f_ev_per_atom": -0.258, "rho_g_cm3": 5.2, "m_tot_mub_per_atom": 0.467, "dos_at_fermi_per_ev_cell": 6.740, "lattice_angstrom": [[-3.671, 0.758, -2.355], [2.360, -1.232, -4.076], [-0.488, -6.327, -1.277]], "species": ["As", "Ba", "Ba", "Fe"], "frac_coords": [[0.500, 0.578, 0.719], [0.000, 0.987, 0.901], [0.500, 0.270, 0.334], [0.000, 0.665, 0.546]]}

---

[8]
{"formula": "BaFeAs2", "functional": "GGA-PBE", "state": "relaxed", "delta_e_f_ev_per_atom": 0.231, "rho_g_cm3": 5.8, "m_tot_mub_per_atom": 0.839, "dos_at_fermi_per_ev_cell": 4.237, "lattice_angstrom": [[0.101, -4.826, 0.697], [4.085, 1.332, 2.308], [-2.162, 0.470, 3.553]], "species": ["As", "As", "Ba", "Fe"], "frac_coords": [[0.000, 0.000, 0.000], [0.500, 0.500, 0.000], [0.500, 0.000, 0.500], [0.000, 0.500, 0.500]]}